[1]
Density functional theory data (PBE-GGA) for crystalline AcInAs at its relaxed geometry.

The volume comes out at 188.5 Å³ per cell. Its energy relative to the lowest polymorph listed for this composition is 0 meV/atom. The calculation puts the energy of formation from the pure elements at -0.917 eV per atom. The calculation puts the total energy at -4.7487 eV/atom.

a b c (Å): 4.5140 4.5142 9.2509
angles (deg): 90.00 90.13 90.00
Closest atoms and distances in Å follow each position.
Fractional positions:
1 Ac 0.2486 0.2500 0.3240  5 As 3.12-3.20, 1 In 3.41
2 Ac 0.7514 0.7500 0.6760  5 As 3.12-3.20, 1 In 3.41
3 In 0.2506 0.2500 0.9558  1 As 2.73
4 In 0.7494 0.7500 0.0442  1 As 2.73
5 As 0.2514 0.2500 0.6613  1 In 2.73
6 As 0.7486 0.7500 0.3387  1 In 2.73

[2]
Density functional theory data (PBE-GGA) for crystalline Ac2InNi4As3 at its relaxed geometry.

The volume comes out at 189.8 Å³ per cell. The calculation puts the energy of formation from the pure elements at -0.682 eV per atom. The calculation puts the total energy at -5.4848 eV/atom.

a b c (Å): 4.3182 4.3182 10.1808
angles (deg): 90.00 90.00 90.00
Closest atoms and distances in Å follow each position.
Fractional positions:
1 Ac 0.0000 0.5000 0.2338  8 Ni 3.21-3.31, 6 As 3.26-3.47, 2 In 3.47
2 Ac 0.5000 0.0000 0.7662  8 Ni 3.21-3.31, 6 As 3.26-3.47, 2 In 3.47
3 In 0.0000 0.0000 0.5000  4 Ni 2.59
4 Ni 0.0000 0.0000 0.0000  4 As 2.49
5 Ni 0.0000 0.5000 0.6401  3 As 2.43-2.59, 2 In 2.59
6 Ni 0.5000 0.0000 0.3599  3 As 2.43-2.59, 2 In 2.59
7 Ni 0.5000 0.5000 0.0000  4 As 2.49
8 As 0.0000 0.5000 0.8784  5 Ni 2.43-2.49
9 As 0.5000 0.0000 0.1216  5 Ni 2.43-2.49
10 As 0.5000 0.5000 0.5000  4 Ni 2.59

[3]
Density functional theory data (PBE-GGA) for crystalline AcInAs2O8 at its relaxed geometry.

The volume comes out at 157.7 Å³ per cell. As for the formation energy without anion corrections: -21.4 eV/f.u. The calculation puts the total energy at -6.4314 eV/atom.

a b c (Å): 6.9996 6.9996 6.9996
angles (deg): 136.97 136.97 62.48
Closest atoms and distances in Å follow each position.
Fractional positions:
1 Ac 0.0000 0.0000 0.0000  8 O 2.50-2.63
2 In 0.2500 0.7500 0.5000  8 O 2.33-2.49
3 As 0.5000 0.5000 0.0000  4 O 1.73
4 As 0.7500 0.2500 0.5000  4 O 1.74
5 O 0.2923 0.6695 0.1218  1 As 1.73
6 O 0.3305 0.4524 0.6229  1 As 1.73
7 O 0.4291 0.0206 0.0916  1 As 1.74
8 O 0.5476 0.1705 0.8782  1 As 1.73
9 O 0.6624 0.5709 0.5915  1 As 1.74
10 O 0.8295 0.7077 0.3771  1 As 1.73
11 O 0.9290 0.3376 0.9084  1 As 1.74
12 O 0.9794 0.0710 0.4085  1 As 1.74

[4]
Density functional theory data (PBE-GGA) for crystalline AcInAsO6 at its relaxed geometry.

The volume comes out at 132.0 Å³ per cell. As for the formation energy without anion corrections: -16.5 eV/f.u. The calculation puts the total energy at -6.4115 eV/atom.

a b c (Å): 5.3642 5.3642 5.2961
angles (deg): 90.00 90.00 120.00
Closest atoms and distances in Å follow each position.
Fractional positions:
1 Ac 0.0000 0.0000 0.0000  6 O 2.54
2 In 0.6667 0.3333 0.5000  6 O 2.17
3 As 0.3333 0.6667 0.5000  6 O 1.87
4 O 0.0426 0.3931 0.2943  1 As 1.87
5 O 0.0426 0.6495 0.7057  1 As 1.87
6 O 0.3505 0.3931 0.7057  1 As 1.87
7 O 0.3505 0.9574 0.2943  1 As 1.87
8 O 0.6069 0.6495 0.2943  1 As 1.87
9 O 0.6069 0.9574 0.7057  1 As 1.87

[5]
Density functional theory data (PBE-GGA) for crystalline AcInAsO5 at its relaxed geometry.

The volume comes out at 250.4 Å³ per cell. As for the formation energy without anion corrections: -15.4 eV/f.u. The calculation puts the total energy at -6.4612 eV/atom.

a b c (Å): 6.0787 6.0787 7.7338
angles (deg): 105.15 105.15 104.40
Closest atoms and distances in Å follow each position.
Fractional positions:
1 Ac 0.1717 0.8283 0.7500  7 O 2.43-2.69
2 Ac 0.8283 0.1717 0.2500  7 O 2.43-2.69
3 In 0.5000 0.5000 0.0000  4 O 2.07-2.29
4 In 0.5000 0.5000 0.5000  4 O 2.07-2.29
5 As 0.1914 0.8086 0.2500  4 O 1.80-1.94
6 As 0.8086 0.1914 0.7500  4 O 1.80-1.94
7 O 0.1009 0.2400 0.9151  1 As 1.80
8 O 0.1617 0.6004 0.4015  1 As 1.94
9 O 0.2400 0.1009 0.4151  1 As 1.80
10 O 0.3996 0.8383 0.0985  1 As 1.94
11 O 0.4241 0.5759 0.7500  2 In 2.07
12 O 0.5759 0.4241 0.2500  2 In 2.07
13 O 0.6004 0.1617 0.9015  1 As 1.94
14 O 0.7600 0.8991 0.5849  1 As 1.80
15 O 0.8383 0.3996 0.5985  1 As 1.94
16 O 0.8991 0.7600 0.0849  1 As 1.80

[6]
Density functional theory data (PBE-GGA) for crystalline AcInAsO2 at its relaxed geometry.

The volume comes out at 113.8 Å³ per cell. As for the formation energy without anion corrections: -8.6 eV/f.u. The calculation puts the total energy at -5.9973 eV/atom.

a b c (Å): 4.1196 4.1196 6.7072
angles (deg): 90.00 90.00 90.00
Closest atoms and distances in Å follow each position.
Fractional positions:
1 Ac 0.0000 0.0000 0.0000  4 O 2.46
2 In 0.5000 0.5000 0.3369  4 O 2.26
3 As 0.5000 0.5000 0.7224  1 In 2.59
4 O 0.0000 0.5000 0.1994  2 In 2.26, 2 Ac 2.46
5 O 0.5000 0.0000 0.1994  2 In 2.26, 2 Ac 2.46